[1]
The following is a DFT calculation (PBE) of a relaxed structure of SbPRu3.

DOS(E_F) = 7.67 states/eV/f.u.
size of the total moment = 0.750 μB per atom
distance to the lowest polymorph of the same formula = 1559 meV per atom

Unit cell a=4.8353 b=4.8353 c=4.8353 alpha=90.00 beta=90.00 gamma=90.00
Closest atoms and distances in Å follow each position.
Fractional positions:
Ru  0.0000  0.5000  0.0000  2 Sb 2.42
Ru  0.0000  0.0000  0.5000  2 Sb 2.42
P  0.5000  0.5000  0.5000  12 Ru 3.42
Ru  0.5000  0.0000  0.0000  2 Sb 2.42
Sb  0.0000  0.0000  0.0000  6 Ru 2.42

[2]
The following is a DFT calculation (PBE) of a relaxed structure of Ac2CdGa2Pt5.

DOS(E_F) = 6.51 states/eV/f.u.
size of the total moment = 0.000 μB per atom
E_tot = -52.5 eV/f.u.

Unit cell a=3.7154 b=10.5247 c=10.5247 alpha=90.00 beta=90.00 gamma=90.00
Closest atoms and distances in Å follow each position.
Fractional positions:
Pt  0.5000  0.9425  0.2129  2 Ga 2.65
Pt  0.5000  0.7871  0.9425  2 Ga 2.65
Ac  0.0000  0.1804  0.3196  3 Ga 2.99-3.21, 10 Pt 3.27-3.34
Ac  0.0000  0.3196  0.8196  3 Ga 2.99-3.21, 10 Pt 3.27-3.34
Ac  0.0000  0.6804  0.1804  3 Ga 2.99-3.21, 10 Pt 3.27-3.34
Pt  0.5000  0.7129  0.4425  2 Ga 2.65
Pt  0.5000  0.4425  0.2871  2 Ga 2.65
Pt  0.5000  0.0575  0.7871  2 Ga 2.65
Pt  0.5000  0.5000  0.0000  4 Ga 2.56
Pt  0.5000  0.0000  0.5000  4 Ga 2.56
Pt  0.5000  0.5575  0.7129  2 Ga 2.65
Ga  0.0000  0.1186  0.6186  6 Pt 2.56-2.65
Ga  0.0000  0.3814  0.1186  6 Pt 2.56-2.65
Pt  0.5000  0.2871  0.5575  2 Ga 2.65
Ga  0.0000  0.6186  0.8814  6 Pt 2.56-2.65
Cd  0.0000  0.0000  0.0000  8 Pt 2.97
Ac  0.0000  0.8196  0.6804  3 Ga 2.99-3.21, 10 Pt 3.27-3.34
Cd  0.0000  0.5000  0.5000  8 Pt 2.97
Ga  0.0000  0.8814  0.3814  6 Pt 2.56-2.65
Pt  0.5000  0.2129  0.0575  2 Ga 2.65

[3]
The following is a DFT calculation (PBE) of a relaxed structure of SrAc4La4.

DOS(E_F) = 16.23 states/eV/f.u.
size of the total moment = 0.000 μB per atom
E_tot = -37.5 eV/f.u.

Unit cell a=5.5191 b=8.7202 c=8.7202 alpha=84.25 beta=71.55 gamma=71.55
Closest atoms and distances in Å follow each position.
Fractional positions:
Ac  0.3284  0.0000  0.3432  4 Ac 3.79-4.01, 6 La 3.85-3.97, 2 Sr 3.96
La  0.0000  0.6546  0.3454  5 La 3.62-3.76, 6 Ac 3.85-3.97, 1 Sr 4.04
Ac  0.6716  0.0000  0.6568  4 Ac 3.79-4.01, 6 La 3.85-3.97, 2 Sr 3.96
La  0.6546  0.3454  0.3454  5 La 3.62-3.76, 6 Ac 3.85-3.97, 1 Sr 4.04
Ac  0.3284  0.3432  0.0000  4 Ac 3.79-4.01, 6 La 3.85-3.97, 2 Sr 3.96
Sr  0.0000  0.0000  0.0000  8 Ac 3.96, 4 La 4.04
Ac  0.6716  0.6568  0.0000  4 Ac 3.79-4.01, 6 La 3.85-3.97, 2 Sr 3.96
La  0.3454  0.6546  0.6546  5 La 3.62-3.76, 6 Ac 3.85-3.97, 1 Sr 4.04
La  0.0000  0.3454  0.6546  5 La 3.62-3.76, 6 Ac 3.85-3.97, 1 Sr 4.04

[4]
The following is a DFT calculation (PBE) of a relaxed structure of LaYIr2.

DOS(E_F) = 4.73 states/eV/f.u.
size of the total moment = 0.000 μB per atom
distance to the lowest polymorph of the same formula = 438 meV per atom

Unit cell a=4.8531 b=4.8531 c=4.8531 alpha=60.00 beta=60.00 gamma=60.00
Closest atoms and distances in Å follow each position.
Fractional positions:
Y  0.7500  0.7500  0.7500  4 La 2.97, 4 Ir 2.97
La  0.5000  0.5000  0.5000  4 Ir 2.97, 4 Y 2.97
Ir  0.0000  0.0000  0.0000  4 Ir 2.97, 4 Y 2.97
Ir  0.2500  0.2500  0.2500  4 La 2.97, 4 Ir 2.97